{
  "formula": "Nd2Ho3Th4",
  "functional": "PBE",
  "state": "optimized geometry",
  "lattice_angstrom": [[3.5174, 0.0000, -0.7573], [-0.7526, 9.0513, -3.4953], [0.2004, -0.6316, 9.4779]],
  "species": ["Nd", "Nd", "Ho", "Ho", "Ho", "Th", "Th", "Th", "Th"],
  "frac_coords": [[0.6636, 0.9991, 0.3272], [0.3364, 0.0009, 0.6728], [0.8530, 0.3338, 0.7061], [0.1470, 0.6662, 0.2939], [0.0000, 0.0000, 0.0000], [0.8160, 0.6599, 0.6320], [0.1840, 0.3401, 0.3680], [0.4749, 0.6632, 0.9498], [0.5251, 0.3368, 0.0502]],
  "ef_kj_per_mol_atoms": 5.5,
  "energy_ev_per_atom": -5.8266,
  "spacegroup": "C2/m (12)"
}

{
  "formula": "Nd10Ho6Th",
  "functional": "PBE",
  "state": "optimized geometry",
  "lattice_angstrom": [[-4.3964, -5.4122, -0.1742], [-2.9884, 2.7155, -8.9452], [7.5640, -6.1759, 0.9821]],
  "species": ["Nd", "Nd", "Nd", "Nd", "Nd", "Nd", "Nd", "Nd", "Nd", "Nd", "Ho", "Ho", "Ho", "Ho", "Ho", "Ho", "Th"],
  "frac_coords": [[0.8218, 0.7223, 0.7223], [0.8218, 0.0000, 0.2777], [0.8218, 0.2777, 0.0000], [0.1782, 0.2777, 0.2777], [0.1782, 0.0000, 0.7223], [0.1782, 0.7223, 0.0000], [0.5000, 0.3333, 0.6667], [0.5000, 0.6667, 0.3333], [0.0000, 0.6667, 0.3333], [0.0000, 0.3333, 0.6667], [0.6829, 0.3645, 0.3645], [0.6829, 0.0000, 0.6355], [0.6829, 0.6355, 0.0000], [0.3171, 0.6355, 0.6355], [0.3171, 0.0000, 0.3645], [0.3171, 0.3645, 0.0000], [0.5000, 0.0000, 0.0000]],
  "ef_kj_per_mol_atoms": 14.3,
  "energy_ev_per_atom": -4.7086,
  "spacegroup": "P-31m (162)"
}

{
  "formula": "Nd2Ho7Th2",
  "functional": "PBE",
  "state": "optimized geometry",
  "lattice_angstrom": [[-4.7399, 6.2864, 1.9969], [-10.4996, 0.0708, 0.3543], [5.0659, 2.1303, 5.9810]],
  "species": ["Nd", "Nd", "Ho", "Ho", "Ho", "Ho", "Ho", "Ho", "Ho", "Th", "Th"],
  "frac_coords": [[0.2159, 0.6933, 0.7841], [0.7841, 0.3067, 0.2159], [0.2370, 0.6722, 0.2335], [0.7665, 0.6722, 0.7630], [0.6472, 0.0833, 0.3528], [0.0000, 0.5000, 0.0000], [0.3528, 0.9167, 0.6472], [0.7630, 0.3278, 0.7665], [0.2335, 0.3278, 0.2370], [0.7086, 0.0000, 0.7086], [0.2914, 0.0000, 0.2914]],
  "ef_kj_per_mol_atoms": 17.4,
  "energy_ev_per_atom": -4.9486,
  "spacegroup": "C2/m (12)",
  "de_polymorph_mev_per_atom": 0
}

{
  "formula": "NdHo2Th2",
  "functional": "PBE",
  "state": "optimized geometry",
  "lattice_angstrom": [[-0.6833, 1.9299, -2.9427], [1.5909, -0.8366, -3.1016], [-10.7232, -8.5121, -5.2760]],
  "species": ["Nd", "Ho", "Ho", "Th", "Th"],
  "frac_coords": [[0.0000, 0.0000, 0.0000], [0.4014, 0.4014, 0.7957], [0.5986, 0.5986, 0.2043], [0.8009, 0.8009, 0.5974], [0.1991, 0.1991, 0.4026]],
  "ef_kj_per_mol_atoms": 1.5,
  "energy_ev_per_atom": -5.7370,
  "spacegroup": "R-3m (166)",
  "de_polymorph_mev_per_atom": 0
}